Entry 1:
# Ba6Br2N3Cl

A geometry-optimized Ba6Br2N3Cl structure (GGA-PBE, Alexandria via LeMat-Bulk).

Results
- crystal system = monoclinic
- V (Å³ per atom) = 29.805
- E_form (uncorrected) (eV per formula unit) = -14.61
- total magnetic moment (μB/f.u.) = 0.001

Unit cell a=10.1475 b=10.1475 c=9.2379 alpha=110.66 beta=110.66 gamma=23.77
Element x y z (fractional)
Ba  0.0133  0.0133  0.2188
Ba  0.3202  0.3202  0.4520
Ba  0.3488  0.3488  0.8805
Ba  0.6512  0.6512  0.1195
Ba  0.6798  0.6798  0.5480
Ba  0.9867  0.9867  0.7812
Br  0.1671  0.1671  0.8343
Br  0.8329  0.8329  0.1657
N  0.1654  0.1654  0.3354
N  0.5000  0.5000  0.0000
N  0.8346  0.8346  0.6646
Cl  0.5000  0.5000  0.5000



Entry 2:
# AcLa2PuS4

A geometry-optimized AcLa2PuS4 structure (GGA-PBE, Alexandria via LeMat-Bulk).

Results
- crystal system = monoclinic
- V (Å³ per atom) = 25.408
- Fermi-level density of states (states/eV/f.u.) = 10.4
- E_form (uncorrected) (eV per formula unit) = -16.06
- total magnetic moment (μB/f.u.) = 5.833

Unit cell a=7.2053 b=4.1402 c=7.2184 alpha=90.00 beta=109.27 gamma=90.00
Element x y z (fractional)
Ac  0.0000  0.0000  0.0000
La  0.5000  0.0000  0.5000
La  0.5000  0.5000  0.0000
Pu  0.0000  0.5000  0.5000
S  0.2433  0.0000  0.7369
S  0.2519  0.5000  0.2616
S  0.7481  0.5000  0.7384
S  0.7567  0.0000  0.2631



Entry 3:
# BePtWAu2

A geometry-optimized BePtWAu2 structure (GGA-PBE, Alexandria via LeMat-Bulk).

Results
- crystal system = tetragonal
- V (Å³ per atom) = 24.828
- formation energy (meV per atom) = 1611
- Fermi-level density of states (states/eV/f.u.) = 4.2
- total magnetic moment (μB/f.u.) = 0.329

Unit cell a=5.0476 b=5.0476 c=4.8723 alpha=90.00 beta=90.00 gamma=90.00
Element x y z (fractional)
Be  0.0000  0.0000  0.0000
Pt  0.5000  0.5000  0.0000
W  0.5000  0.5000  0.5000
Au  0.0000  0.5000  0.5000
Au  0.5000  0.0000  0.5000



Entry 4:
# TlCoBr3

A geometry-optimized TlCoBr3 structure (GGA-PBE, Alexandria via LeMat-Bulk).

Results
- crystal system = monoclinic
- V (Å³ per atom) = 33.893
- Fermi-level density of states (states/eV/f.u.) = 0.7
- E_form (uncorrected) (eV per formula unit) = -2.47
- total magnetic moment (μB/f.u.) = 3.001

Unit cell a=8.0268 b=6.8265 c=12.8514 alpha=90.00 beta=105.72 gamma=90.00
Element x y z (fractional)
Tl  0.1819  0.2364  0.1312
Tl  0.1819  0.2636  0.6312
Tl  0.8181  0.7364  0.3688
Tl  0.8181  0.7636  0.8688
Co  0.4175  0.7412  0.5129
Co  0.4175  0.7588  0.0129
Co  0.5825  0.2412  0.9871
Co  0.5825  0.2588  0.4871
Br  0.1638  0.7230  0.0788
Br  0.1638  0.7770  0.5788
Br  0.3089  0.0722  0.9041
Br  0.3089  0.4278  0.4041
Br  0.4420  0.5571  0.8634
Br  0.4420  0.9429  0.3634
Br  0.5580  0.0571  0.6366
Br  0.5580  0.4429  0.1366
Br  0.6911  0.5722  0.5959
Br  0.6911  0.9278  0.0959
Br  0.8362  0.2230  0.4212
Br  0.8362  0.2770  0.9212



Entry 5:
# CaAc2Zn3Au4

A geometry-optimized CaAc2Zn3Au4 structure (GGA-PBE, Alexandria via LeMat-Bulk).

Results
- crystal system = tetragonal
- V (Å³ per atom) = 24.050
- formation energy (meV per atom) = -578
- Fermi-level density of states (states/eV/f.u.) = 6.0
- total magnetic moment (μB/f.u.) = 0.000

Unit cell a=4.4708 b=4.4708 c=12.0321 alpha=90.00 beta=90.00 gamma=90.00
Element x y z (fractional)
Ca  0.0000  0.0000  0.0000
Ac  0.0000  0.5000  0.7226
Ac  0.5000  0.0000  0.2774
Zn  0.0000  0.5000  0.3812
Zn  0.5000  0.0000  0.6188
Zn  0.5000  0.5000  0.0000
Au  0.0000  0.0000  0.5000
Au  0.0000  0.5000  0.1616
Au  0.5000  0.0000  0.8384
Au  0.5000  0.5000  0.5000



Entry 6:
# Gd2NiAg

A geometry-optimized Gd2NiAg structure (GGA-PBE, Alexandria via LeMat-Bulk).

Results
- crystal system = tetragonal
- V (Å³ per atom) = 22.411
- formation energy (meV per atom) = -315
- Fermi-level density of states (states/eV/f.u.) = 4.1
- total magnetic moment (μB/f.u.) = 14.529

Unit cell a=3.5030 b=3.5030 c=7.3057 alpha=90.00 beta=90.00 gamma=90.00
Element x y z (fractional)
Gd  0.0000  0.0000  0.2253
Gd  0.0000  0.0000  0.7747
Ni  0.5000  0.5000  0.0000
Ag  0.5000  0.5000  0.5000



Entry 7:
# TiTe2NO

A geometry-optimized TiTe2NO structure (GGA-PBE, Alexandria via LeMat-Bulk).

Results
- crystal system = tetragonal
- V (Å³ per atom) = 21.372
- Fermi-level density of states (states/eV/f.u.) = 4.5
- E_form (uncorrected) (eV per formula unit) = 2.28
- total magnetic moment (μB/f.u.) = 0.913

Unit cell a=5.3645 b=5.3645 c=3.7134 alpha=90.00 beta=90.00 gamma=90.00
Element x y z (fractional)
Ti  0.0000  0.0000  0.0000
Te  0.0000  0.5000  0.0000
Te  0.5000  0.0000  0.0000
N  0.0000  0.0000  0.5000
O  0.5000  0.5000  0.5000



Entry 8:
# ErTa2

A geometry-optimized ErTa2 structure (GGA-PBE, Alexandria via LeMat-Bulk).

Results
- crystal system = cubic
- V (Å³ per atom) = 21.903
- formation energy (meV per atom) = 244
- Fermi-level density of states (states/eV/f.u.) = 7.4
- total magnetic moment (μB/f.u.) = 0.001

Unit cell a=5.7068 b=5.7068 c=5.7068 alpha=60.00 beta=60.00 gamma=60.00
Element x y z (fractional)
Er  0.1250  0.1250  0.1250
Er  0.8750  0.8750  0.8750
Ta  0.0000  0.5000  0.5000
Ta  0.5000  0.0000  0.5000
Ta  0.5000  0.5000  0.0000
Ta  0.5000  0.5000  0.5000



Entry 9:
# Zr2Tl2Sb

A geometry-optimized Zr2Tl2Sb structure (GGA-PBE, Alexandria via LeMat-Bulk).

Results
- crystal system = tetragonal
- V (Å³ per atom) = 25.443
- Fermi-level density of states (states/eV/f.u.) = 2.9
- E_form (uncorrected) (eV per formula unit) = -0.94
- total magnetic moment (μB/f.u.) = 0.000

Unit cell a=7.4721 b=7.4721 c=4.5570 alpha=90.00 beta=90.00 gamma=90.00
Element x y z (fractional)
Zr  0.1543  0.3457  0.0000
Zr  0.3457  0.8457  0.0000
Zr  0.6543  0.1543  0.0000
Zr  0.8457  0.6543  0.0000
Tl  0.1547  0.6547  0.5000
Tl  0.3453  0.1547  0.5000
Tl  0.6547  0.8453  0.5000
Tl  0.8453  0.3453  0.5000
Sb  0.0000  0.0000  0.0000
Sb  0.5000  0.5000  0.0000



Entry 10:
# SrZr2Zn

A geometry-optimized SrZr2Zn structure (GGA-PBE, Alexandria via LeMat-Bulk).

Results
- crystal system = orthorhombic
- V (Å³ per atom) = 24.745
- formation energy (meV per atom) = 355
- Fermi-level density of states (states/eV/f.u.) = 4.8
- total magnetic moment (μB/f.u.) = 0.000

Unit cell a=6.2477 b=6.2477 c=6.2477 alpha=146.84 beta=131.51 gamma=60.01
Element x y z (fractional)
Sr  0.0000  0.0000  0.0000
Zr  0.4302  0.4302  0.0000
Zr  0.7117  0.2117  0.5000
Zn  0.2343  0.7343  0.5000



Entry 11:
# InAgSn

A geometry-optimized InAgSn structure (GGA-PBE, Alexandria via LeMat-Bulk).

Results
- crystal system = triclinic
- V (Å³ per atom) = 23.733
- formation energy (meV per atom) = 52
- Fermi-level density of states (states/eV/f.u.) = 1.0
- total magnetic moment (μB/f.u.) = 0.000

Unit cell a=4.6498 b=5.7004 c=6.2661 alpha=108.40 beta=90.02 gamma=113.98
Element x y z (fractional)
In  0.1905  0.3809  0.1117
In  0.8095  0.6191  0.8883
Ag  0.1538  0.3069  0.5895
Ag  0.8462  0.6931  0.4105
Sn  0.4707  0.9431  0.7323
Sn  0.5293  0.0569  0.2677



Entry 12:
# CoRh2Cl

A geometry-optimized CoRh2Cl structure (GGA-PBE, Alexandria via LeMat-Bulk).

Results
- crystal system = tetragonal
- V (Å³ per atom) = 14.447
- Fermi-level density of states (states/eV/f.u.) = 6.5
- E_form (uncorrected) (eV per formula unit) = 2.89
- total magnetic moment (μB/f.u.) = 2.946

Unit cell a=4.5312 b=4.5312 c=4.5312 alpha=126.77 beta=126.77 gamma=78.63
Element x y z (fractional)
Co  0.0000  0.0000  0.0000
Rh  0.2500  0.7500  0.5000
Rh  0.5000  0.5000  0.0000
Cl  0.7500  0.2500  0.5000



Entry 13:
# MoOs

A geometry-optimized MoOs structure (GGA-PBE, Alexandria via LeMat-Bulk).

Results
- crystal system = orthorhombic
- V (Å³ per atom) = 15.243
- formation energy (meV per atom) = 239
- Fermi-level density of states (states/eV/f.u.) = 1.9
- total magnetic moment (μB/f.u.) = 0.000

Unit cell a=5.3707 b=5.3707 c=4.2513 alpha=90.00 beta=90.00 gamma=150.18
Element x y z (fractional)
Mo  0.0699  0.9301  0.7500
Mo  0.9301  0.0699  0.2500
Os  0.3266  0.6734  0.7500
Os  0.6734  0.3266  0.2500



Entry 14:
# Mg4ZnCu

A geometry-optimized Mg4ZnCu structure (GGA-PBE, Alexandria via LeMat-Bulk).

Results
- crystal system = cubic
- V (Å³ per atom) = 20.500
- formation energy (meV per atom) = 310
- Fermi-level density of states (states/eV/f.u.) = 1.8
- total magnetic moment (μB/f.u.) = 0.000

Unit cell a=5.5822 b=5.5822 c=5.5822 alpha=60.00 beta=60.00 gamma=60.00
Element x y z (fractional)
Mg  0.1251  0.1251  0.1251
Mg  0.1251  0.1251  0.6246
Mg  0.1251  0.6246  0.1251
Mg  0.6246  0.1251  0.1251
Zn  0.7500  0.7500  0.7500
Cu  0.5000  0.5000  0.5000



Entry 15:
# CoRhAuCl2

A geometry-optimized CoRhAuCl2 structure (GGA-PBE, Alexandria via LeMat-Bulk).

Results
- crystal system = tetragonal
- V (Å³ per atom) = 24.556
- Fermi-level density of states (states/eV/f.u.) = 8.3
- E_form (uncorrected) (eV per formula unit) = 6.12
- total magnetic moment (μB/f.u.) = 3.138

Unit cell a=4.8139 b=4.8139 c=5.2982 alpha=90.00 beta=90.00 gamma=90.00
Element x y z (fractional)
Co  0.0000  0.0000  0.0000
Rh  0.5000  0.5000  0.0000
Au  0.5000  0.5000  0.5000
Cl  0.0000  0.5000  0.5000
Cl  0.5000  0.0000  0.5000



Entry 16:
# CeGd2Be

A geometry-optimized CeGd2Be structure (GGA-PBE, Alexandria via LeMat-Bulk).

Results
- crystal system = trigonal
- V (Å³ per atom) = 28.209
- formation energy (meV per atom) = 692
- Fermi-level density of states (states/eV/f.u.) = 5.9
- total magnetic moment (μB/f.u.) = 14.203

Unit cell a=11.4466 b=11.4466 c=11.4466 alpha=17.08 beta=17.08 gamma=17.08
Element x y z (fractional)
Ce  0.0000  0.0000  0.0000
Gd  0.4156  0.4156  0.4156
Gd  0.5844  0.5844  0.5844
Be  0.5000  0.5000  0.5000



Entry 17:
# TbBOsC

A geometry-optimized TbBOsC structure (GGA-PBE, Alexandria via LeMat-Bulk).

Results
- crystal system = tetragonal
- V (Å³ per atom) = 13.644
- formation energy (meV per atom) = -249
- Fermi-level density of states (states/eV/f.u.) = 2.6
- total magnetic moment (μB/f.u.) = 0.175

Unit cell a=3.6890 b=3.6890 c=8.0209 alpha=90.00 beta=90.00 gamma=90.00
Element x y z (fractional)
Tb  0.2500  0.2500  0.1596
Tb  0.7500  0.7500  0.8404
B  0.2500  0.2500  0.6690
B  0.7500  0.7500  0.3310
Os  0.2500  0.7500  0.5000
Os  0.7500  0.2500  0.5000
C  0.2500  0.2500  0.8575
C  0.7500  0.7500  0.1425



Entry 18:
# AcNd4Mg

A geometry-optimized AcNd4Mg structure (GGA-PBE, Alexandria via LeMat-Bulk).

Results
- crystal system = tetragonal
- V (Å³ per atom) = 35.016
- formation energy (meV per atom) = -16
- Fermi-level density of states (states/eV/f.u.) = 8.6
- total magnetic moment (μB/f.u.) = 0.000

Unit cell a=3.8029 b=3.8029 c=14.5272 alpha=90.00 beta=90.00 gamma=90.00
Element x y z (fractional)
Ac  0.0000  0.0000  0.0000
Nd  0.0000  0.0000  0.3597
Nd  0.0000  0.0000  0.6403
Nd  0.5000  0.5000  0.1883
Nd  0.5000  0.5000  0.8117
Mg  0.5000  0.5000  0.5000



Entry 19:
# FeRe3

A geometry-optimized FeRe3 structure (GGA-PBE, Alexandria via LeMat-Bulk).

Results
- crystal system = hexagonal
- V (Å³ per atom) = 14.020
- formation energy (meV per atom) = 77
- Fermi-level density of states (states/eV/f.u.) = 4.0
- total magnetic moment (μB/f.u.) = 0.000

Unit cell a=2.7434 b=2.7434 c=8.6037 alpha=90.00 beta=90.00 gamma=120.00
Element x y z (fractional)
Fe  0.0000  0.0000  0.0000
Re  0.0000  0.0000  0.5000
Re  0.3333  0.6667  0.2379
Re  0.3333  0.6667  0.7621



Entry 20:
# HgMo3

A geometry-optimized HgMo3 structure (GGA-PBE, Alexandria via LeMat-Bulk).

Results
- crystal system = orthorhombic
- V (Å³ per atom) = 16.950
- formation energy (meV per atom) = 429
- Fermi-level density of states (states/eV/f.u.) = 2.4
- total magnetic moment (μB/f.u.) = 0.000

Unit cell a=5.6486 b=5.6486 c=4.4200 alpha=90.00 beta=90.00 gamma=74.05
Element x y z (fractional)
Hg  0.1336  0.8664  0.7500
Hg  0.8664  0.1336  0.2500
Mo  0.1011  0.3820  0.7500
Mo  0.3820  0.1011  0.2500
Mo  0.4000  0.6000  0.2500
Mo  0.6000  0.4000  0.7500
Mo  0.6180  0.8989  0.7500
Mo  0.8989  0.6180  0.2500